Computed, not measured: crystalline Mo2PCl at its relaxed geometry at the PBE-GGA level of DFT.

Results
**Calculated total energy**: -6.67 eV/atom
**Formation energy from raw total energies**: 0.557 eV/atom
**Distance to the lowest polymorph of the same formula**: 62.2 kJ per mole of atoms

Cell lengths 5.6309, 5.6309, 9.8111 Å; angles 90.00, 90.00, 90.00 degrees
With the nearest neighbours (Å) after each atom.
Fractional coordinates of all 16 atoms:
Mo (0.2479, 0.2500, 0.1250)  2 P 2.33, 2 Cl 2.35
Mo (0.2500, 0.7479, 0.3750)  2 P 2.33, 2 Cl 2.35
Mo (0.2500, 0.7521, 0.8750)  2 P 2.33, 2 Cl 2.35
Mo (0.2521, 0.2500, 0.6250)  2 P 2.33, 2 Cl 2.35
Mo (0.7479, 0.7500, 0.6250)  2 P 2.33, 2 Cl 2.35
Mo (0.7500, 0.2479, 0.8750)  2 P 2.33, 2 Cl 2.35
Mo (0.7500, 0.2521, 0.3750)  2 P 2.33, 2 Cl 2.35
Mo (0.7521, 0.7500, 0.1250)  2 P 2.33, 2 Cl 2.35
P (0.0000, 0.0000, 0.0000)  4 Mo 2.33
P (0.0000, 0.5000, 0.2500)  4 Mo 2.33
P (0.5000, 0.0000, 0.7500)  4 Mo 2.33
P (0.5000, 0.5000, 0.5000)  4 Mo 2.33
Cl (0.0000, 0.0000, 0.5000)  4 Mo 2.35
Cl (0.0000, 0.5000, 0.7500)  4 Mo 2.35
Cl (0.5000, 0.0000, 0.2500)  4 Mo 2.35
Cl (0.5000, 0.5000, 0.0000)  4 Mo 2.35

Computed, not measured: crystalline Li3HoGa3 at its relaxed geometry at the PBE-GGA level of DFT.

Results
**Calculated total energy**: -3.11 eV/atom
**Energy relative to the elements**: -0.336 eV/atom
**Distance to the lowest polymorph of the same formula**: 0.0 kJ per mole of atoms

Cell lengths 8.3732, 4.4313, 8.3891 Å; angles 90.00, 119.93, 90.00 degrees
With the nearest neighbours (Å) after each atom.
Fractional coordinates of all 14 atoms:
Li (0.0214, 0.2500, 0.2664)  4 Ga 2.66-2.82
Li (0.2333, 0.2500, 0.7545)  4 Ga 2.66-2.82
Li (0.2546, 0.7500, 0.5220)  4 Ga 2.66-2.82
Li (0.7454, 0.2500, 0.4780)  4 Ga 2.66-2.82
Li (0.7667, 0.7500, 0.2455)  4 Ga 2.66-2.82
Li (0.9786, 0.7500, 0.7336)  4 Ga 2.66-2.82
Ho (0.3331, 0.7500, 0.1672)  9 Ga 2.99-3.02
Ho (0.6669, 0.2500, 0.8328)  9 Ga 2.99-3.02
Ga (0.0726, 0.2500, 0.9591)  4 Li 2.66-2.82, 2 Ga 2.77
Ga (0.3868, 0.2500, 0.4282)  4 Li 2.66-2.82, 2 Ga 2.77
Ga (0.4597, 0.7500, 0.8875)  4 Li 2.66-2.82, 2 Ga 2.77
Ga (0.5403, 0.2500, 0.1125)  4 Li 2.66-2.82, 2 Ga 2.77
Ga (0.6132, 0.7500, 0.5718)  4 Li 2.66-2.82, 2 Ga 2.77
Ga (0.9274, 0.7500, 0.0409)  4 Li 2.66-2.82, 2 Ga 2.77

Computed, not measured: crystalline ErLu2Th at its relaxed geometry at the PBE-GGA level of DFT.

Results
**Calculated total energy**: -5.22 eV/atom
**Energy relative to the elements**: 0.034 eV/atom
**Distance to the lowest polymorph of the same formula**: 0.9 kJ per mole of atoms

Cell lengths 4.9734, 4.9734, 4.9249 Å; angles 90.00, 90.00, 90.00 degrees
With the nearest neighbours (Å) after each atom.
Fractional coordinates of all 4 atoms:
Er (0.0000, 0.0000, 0.0000)  8 Lu 3.50, 4 Th 3.52
Lu (0.0000, 0.5000, 0.5000)  4 Th 3.50, 4 Er 3.50, 4 Lu 3.52
Lu (0.5000, 0.0000, 0.5000)  4 Th 3.50, 4 Er 3.50, 4 Lu 3.52
Th (0.5000, 0.5000, 0.0000)  8 Lu 3.50, 4 Er 3.52

Computed, not measured: crystalline Ta2MnTe at its relaxed geometry at the PBE-GGA level of DFT.

Results
**Calculated total energy**: -8.53 eV/atom
**Formation energy from raw total energies**: 0.470 eV/atom

Cell lengths 6.5354, 6.5354, 6.5354 Å; angles 90.00, 90.00, 90.00 degrees
With the nearest neighbours (Å) after each atom.
Fractional coordinates of all 16 atoms:
Ta (0.0000, 0.0000, 0.0000)  4 Ta 2.83, 4 Te 2.83
Ta (0.0000, 0.5000, 0.5000)  4 Ta 2.83, 4 Te 2.83
Ta (0.2500, 0.2500, 0.2500)  4 Ta 2.83, 4 Mn 2.83
Ta (0.2500, 0.7500, 0.7500)  4 Ta 2.83, 4 Mn 2.83
Ta (0.5000, 0.0000, 0.5000)  4 Ta 2.83, 4 Te 2.83
Ta (0.5000, 0.5000, 0.0000)  4 Ta 2.83, 4 Te 2.83
Ta (0.7500, 0.2500, 0.7500)  4 Ta 2.83, 4 Mn 2.83
Ta (0.7500, 0.7500, 0.2500)  4 Ta 2.83, 4 Mn 2.83
Mn (0.0000, 0.0000, 0.5000)  4 Ta 2.83, 4 Te 2.83
Mn (0.0000, 0.5000, 0.0000)  4 Ta 2.83, 4 Te 2.83
Mn (0.5000, 0.0000, 0.0000)  4 Ta 2.83, 4 Te 2.83
Mn (0.5000, 0.5000, 0.5000)  4 Ta 2.83, 4 Te 2.83
Te (0.2500, 0.2500, 0.7500)  4 Ta 2.83, 4 Mn 2.83
Te (0.2500, 0.7500, 0.2500)  4 Ta 2.83, 4 Mn 2.83
Te (0.7500, 0.2500, 0.2500)  4 Ta 2.83, 4 Mn 2.83
Te (0.7500, 0.7500, 0.7500)  4 Ta 2.83, 4 Mn 2.83